# CdInHg2 | Alexandria via LeMat-Bulk | PBEsol | relaxed
data_CdInHg2
_chemical_formula_sum 'Cd1 In1 Hg2'
_cell_length_a 9.984
_cell_length_b 9.984
_cell_length_c 9.984
_cell_angle_alpha 18.98
_cell_angle_beta 18.98
_cell_angle_gamma 18.98
_space_group_name_H-M_alt 'P 1'
_space_group_IT_number 1
_space_group_name_Hall 'P 1'
loop_
_atom_site_label
_atom_site_fract_x
_atom_site_fract_y
_atom_site_fract_z
_atom_site_occupancy
Cd1 0.000 0.000 0.000 1
In1 0.248 0.248 0.248 1
Hg1 0.496 0.496 0.496 1
Hg2 0.747 0.747 0.747 1
# Final energy, eV/atom: -1.318
# Magnetization, μB/atom: 0.00
# ΔH_f (0 K), meV/atom: 11